## NpTi2N (PBE)

Data for NpTi2N after structural relaxation.

**Crystal system**: trigonal
**Energy relative to the elements, uncorrected**: -59.03 kJ per mole of atoms
**Offset from the most stable computed form**: 0.0000 eV/atom

Unit cell a=2.9618 b=2.9618 c=8.2739 alpha=79.69 beta=79.69 gamma=60.00
Site moments in Bohr magnetons follow the coordinates.
Sites, in units of the cell vectors:
1 Np 0.0000 0.0000 0.0000  3.45
2 N 0.5000 0.5000 0.5000  0.01
3 Ti 0.1185 0.1185 0.6445  0.10
4 Ti 0.8815 0.8815 0.3555  0.10

## NdMg2Ge2Au2 (PBE)

Data for NdMg2Ge2Au2 after structural relaxation.

**Energy relative to the elements**: -3.86 eV per formula unit
**Crystal system**: trigonal

Unit cell a=4.4583 b=4.4583 c=8.6079 alpha=74.99 beta=74.99 gamma=60.00
Sites, in units of the cell vectors:
1 Nd 0.0000 0.0000 0.0000
2 Mg 0.1387 0.1387 0.5840
3 Mg 0.8613 0.8613 0.4160
4 Ge 0.7372 0.7372 0.7885
5 Ge 0.2628 0.2628 0.2115
6 Au 0.5650 0.5650 0.3050
7 Au 0.4350 0.4350 0.6950

## ScPa2S8 (PBE)

Data for ScPa2S8 after structural relaxation.

**Crystal system**: trigonal
**Energy relative to the elements, uncorrected**: -84.36 kJ per mole of atoms

Unit cell a=5.1814 b=8.1141 c=8.1141 alpha=120.00 beta=90.00 gamma=90.00
Sites, in units of the cell vectors:
1 Sc 0.5000 0.0000 0.0000
2 Pa 0.7631 0.6667 0.3333
3 Pa 0.2369 0.3333 0.6667
4 S 0.7376 0.3333 0.6667
5 S 0.2624 0.6667 0.3333
6 S 0.2221 0.1504 0.3009
7 S 0.7779 0.8496 0.6991
8 S 0.7779 0.3009 0.1504
9 S 0.2221 0.6991 0.8496
10 S 0.2221 0.1504 0.8496
11 S 0.7779 0.8496 0.1504

## CeZr2Ga9 (PBE)

Data for CeZr2Ga9 after structural relaxation.

**Energy relative to the elements**: -5.89 eV per formula unit
**Crystal system**: tetragonal

Unit cell a=4.1965 b=4.1965 c=12.5604 alpha=90.00 beta=90.00 gamma=90.00
Sites, in units of the cell vectors:
1 Ce 0.0000 0.0000 0.0000
2 Zr 0.0000 0.0000 0.3405
3 Zr 0.0000 0.0000 0.6595
4 Ga 0.5000 0.5000 0.0000
5 Ga 0.5000 0.5000 0.3352
6 Ga 0.5000 0.5000 0.6648
7 Ga 0.5000 0.0000 0.1751
8 Ga 0.5000 0.0000 0.5000
9 Ga 0.5000 0.0000 0.8249
10 Ga 0.0000 0.5000 0.1751
11 Ga 0.0000 0.5000 0.5000
12 Ga 0.0000 0.5000 0.8249

## RbIrC3 (PBE)

Data for RbIrC3 after structural relaxation.

**Energy relative to the elements**: 9.88 eV per formula unit
**Crystal system**: cubic
**Offset from the most stable computed form**: 0.0000 eV/atom

Unit cell a=4.1352 b=4.1352 c=4.1352 alpha=90.00 beta=90.00 gamma=90.00
Site moments in Bohr magnetons follow the coordinates.
Sites, in units of the cell vectors:
1 C 0.0000 0.5000 0.0000  0.58
2 C 0.0000 0.0000 0.5000  0.73
3 C 0.5000 0.0000 0.0000  0.29
4 Ir 0.0000 0.0000 0.0000  0.00
5 Rb 0.5000 0.5000 0.5000  0.07

## LaGeS3 (PBE)

Data for LaGeS3 after structural relaxation.

**Crystal system**: cubic
**Energy relative to the elements, uncorrected**: -10.63 kJ per mole of atoms
**Offset from the most stable computed form**: 1.1356 eV/atom

Unit cell a=5.4531 b=5.4531 c=5.4531 alpha=90.00 beta=90.00 gamma=90.00
Site moments in Bohr magnetons follow the coordinates.
Sites, in units of the cell vectors:
1 Ge 0.5000 0.5000 0.5000  -0.06
2 S 0.0000 0.5000 0.0000  0.19
3 S 0.0000 0.0000 0.5000  0.24
4 S 0.5000 0.0000 0.0000  0.16
5 La 0.0000 0.0000 0.0000  0.03

## SrHoSb2 (PBE)

Data for SrHoSb2 after structural relaxation.

**Crystal system**: trigonal
**Energy relative to the elements, uncorrected**: -82.52 kJ per mole of atoms
**Offset from the most stable computed form**: 0.0826 eV/atom

Unit cell a=4.6486 b=4.6486 c=7.8576 alpha=72.79 beta=72.79 gamma=60.00
Sites, in units of the cell vectors:
1 Sr 0.6696 0.6696 0.9913
2 Ho 0.4972 0.4972 0.5084
3 Sb 0.0928 0.0928 0.7216
4 Sb 0.2404 0.2404 0.2787